# 1
Crystalline LiCdIn2Se4 at its relaxed geometry, computed with PBE-GGA.

The value obtained for the uncorrected formation energy is -0.660 eV per atom. As for the crystal system: orthorhombic.

It has space group Fmm2 (No. 42), with a = 8.625 Å, b = 9.246 Å, c = 11.814 Å, α = 90.00°, β = 90.00° and γ = 90.00°. The distinct sites, in fractional coordinates, are Li at (0.000, 0.000, 0.000), Cd at (0.000, 0.000, 0.499), In at (0.250, 0.250, 0.253), Se at (0.000, 0.246, 0.113) and Se at (0.242, 0.000, 0.871).

# 2
Crystalline PmPr3Pa2N6 at its relaxed geometry, computed with PBE-GGA.

The value obtained for the uncorrected formation energy is -1.534 eV per atom. As for the crystal system: monoclinic.

It has space group C2/m (No. 12), with a = 6.227 Å, b = 10.786 Å, c = 6.281 Å, α = 90.00°, β = 109.29° and γ = 90.00°. The distinct sites, in fractional coordinates, are Pm at (0.000, 0.000, 0.000), Pr at (0.000, 0.165, 0.500), Pr at (0.000, 0.500, 0.500), Pa at (0.000, 0.333, 0.000), N at (0.217, 0.500, 0.214) and N at (0.250, 0.177, 0.216).

# 3
Crystalline LiPu2MnGe6 at its relaxed geometry, computed with PBE-GGA.

As for the formation energy: -243.9 meV per atom. As for the crystal system: trigonal.

It has space group R-3m (No. 166, hexagonal axes), with a = 6.1130 Å, b = 6.1130 Å, c = 34.6106 Å, α = 90.00°, β = 90.00° and γ = 120.00°. The distinct sites, in fractional coordinates, are Li at (0.0000, 0.0000, 0.0718), Pu at (0.0000, 0.0000, 0.2102), Pu at (0.0000, 0.0000, 0.3885), Mn at (0.0000, 0.0000, 0.0000), Mn at (0.0000, 0.0000, 0.5000), Ge at (0.0390, 0.5195, 0.7932) and Ge at (0.0606, 0.5303, 0.3682).

# 4
Crystalline DyMgCu at its relaxed geometry, computed with PBE-GGA.

As for the formation energy: -198.9 meV per atom. As for the crystal system: monoclinic.

It has space group C2/m (No. 12), with a = 10.353 Å, b = 3.915 Å, c = 7.650 Å, α = 90.00°, β = 122.52° and γ = 90.00°. The distinct sites, in fractional coordinates, are Dy at (0.076, 0.000, 0.340), Mg at (0.176, 0.500, 0.074) and Cu at (0.135, 0.500, 0.665).

# 5
Crystalline HgSb2RuI at its relaxed geometry, computed with PBE-GGA.

As for the polymorph energy (0 for the lowest one): 0.00 eV/f.u. The value obtained for the uncorrected formation energy is 0.330 eV per atom. As for the crystal system: tetragonal.

It has space group P4/mmm (No. 123), with a = 5.087 Å, b = 5.087 Å, c = 5.843 Å, α = 90.00°, β = 90.00° and γ = 90.00°. The distinct sites, in fractional coordinates, are Hg at (0.000, 0.000, 0.000), Sb at (0.000, 0.500, 0.500), Ru at (0.500, 0.500, 0.500) and I at (0.500, 0.500, 0.000).

# 6
Crystalline NdZn2Ga at its relaxed geometry, computed with PBE-GGA.

As for the formation energy: -233.6 meV per atom. As for the crystal system: orthorhombic.

It has space group Cmmm (No. 65), with a = 5.206 Å, b = 9.324 Å, c = 3.645 Å, α = 90.00°, β = 90.00° and γ = 90.00°. The distinct sites, in fractional coordinates, are Nd at (0.000, 0.000, 0.000), Zn at (0.250, 0.250, 0.500) and Ga at (0.000, 0.500, 0.500).

# 7
Crystalline Be4CuRh at its relaxed geometry, computed with PBE-GGA.

As for the formation energy: -334.8 meV per atom. As for the crystal system: cubic.

It has space group F-43m (No. 216), with a = 6.080 Å, b = 6.080 Å, c = 6.080 Å, α = 90.00°, β = 90.00° and γ = 90.00°. The distinct sites, in fractional coordinates, are Be at (0.125, 0.125, 0.125), Cu at (0.000, 0.000, 0.500) and Rh at (0.250, 0.250, 0.750).

# 8
Crystalline NpAgAu2 at its relaxed geometry, computed with PBE-GGA.

As for the polymorph energy (0 for the lowest one): 0.06 eV/f.u. As for the formation energy: -64.3 meV per atom. As for the crystal system: tetragonal.

It has space group P4/mmm (No. 123), with a = 3.153 Å, b = 3.153 Å, c = 8.107 Å, α = 90.00°, β = 90.00° and γ = 90.00°. The distinct sites, in fractional coordinates, are Np at (0.000, 0.000, 0.000), Ag at (0.000, 0.000, 0.500) and Au at (0.500, 0.500, 0.266).

# 9
Crystalline Tb7In2Ir2 at its relaxed geometry, computed with PBE-GGA.

As for the formation energy: -464.1 meV per atom. As for the crystal system: orthorhombic.

It has space group Cmmm (No. 65), with a = 8.242 Å, b = 10.977 Å, c = 7.100 Å, α = 90.00°, β = 90.00° and γ = 90.00°. The distinct sites, in fractional coordinates, are Tb at (0.000, 0.000, 0.000), Tb at (0.000, 0.500, 0.242), Tb at (0.250, 0.250, 0.249), In at (0.175, 0.000, 0.500) and Ir at (0.000, 0.288, 0.000).

# 10
Crystalline Mg3FeSb at its relaxed geometry, computed with PBE-GGA.

As for the polymorph energy (0 for the lowest one): 0.00 eV/f.u. The value obtained for the uncorrected formation energy is 0.474 eV per atom. As for the crystal system: cubic.

It has space group Pm-3m (No. 221), with a = 4.933 Å, b = 4.933 Å, c = 4.933 Å, α = 90.00°, β = 90.00° and γ = 90.00°. The distinct sites, in fractional coordinates, are Mg at (0.000, 0.000, 0.500), Fe at (0.000, 0.000, 0.000) and Sb at (0.500, 0.500, 0.500).

# 11
Crystalline Tl3VS4 at its relaxed geometry, computed with PBE-GGA.

As for the polymorph energy (0 for the lowest one): 0.07 eV/f.u. The value obtained for the uncorrected formation energy is -0.610 eV per atom. As for the crystal system: cubic.

It has space group I-43m (No. 217), with a = 7.649 Å, b = 7.649 Å, c = 7.649 Å, α = 90.00°, β = 90.00° and γ = 90.00°. The distinct sites, in fractional coordinates, are Tl at (0.000, 0.000, 0.500), V at (0.000, 0.000, 0.000) and S at (0.164, 0.164, 0.836).

# 12
Crystalline LiCo2Ir at its relaxed geometry, computed with PBE-GGA.

As for the formation energy: 124.2 meV per atom. As for the crystal system: tetragonal.

It has space group P4mm (No. 99), with a = 2.607 Å, b = 2.607 Å, c = 7.408 Å, α = 90.00°, β = 90.00° and γ = 90.00°. The distinct sites, in fractional coordinates, are Li at (0.000, 0.000, 0.000), Co at (0.000, 0.000, 0.483), Co at (0.500, 0.500, 0.269) and Ir at (0.500, 0.500, 0.733).

Question: Number 8 is which compound?
Answer: NpAgAu2